Entry from Alexandria: an optimized crystal structure of Mg2As (PBE). Values from VASP.

For the energy relative to the elements, the calculation gives -0.35 eV per atom. As for the density of states at the Fermi level: 0.377 states/eV/atom. The density is 3.264 Mg/m³.

```
&SYSTEM
  ibrav = 0, nat = 9, ntyp = 2
/
ATOMIC_SPECIES
Mg 24.30 Mg.upf
As 74.92 As.upf
ATOMIC_POSITIONS crystal
Mg 0.000 0.259 0.000
Mg 0.000 0.587 0.500
Mg 0.259 0.000 0.000
Mg 0.413 0.413 0.500
Mg 0.587 0.000 0.500
Mg 0.741 0.741 0.000
As 0.000 0.000 0.500
As 0.333 0.667 0.000
As 0.667 0.333 0.000
CELL_PARAMETERS angstrom
7.178 0.000 0.000
-3.589 6.216 0.000
0.000 0.000 4.226
```